A plane-wave DFT calculation with PBE-GGA was carried out for a geometry-optimized KGa2Ru2 structure.

Lattice parameters (Å, degrees): 7.977 7.977 2.713 90.00 90.00 90.00
Fractional positions:
K 0.000 0.000 0.000
K 0.500 0.500 0.000
Ga 0.162 0.338 0.500
Ga 0.338 0.838 0.500
Ga 0.662 0.162 0.500
Ga 0.838 0.662 0.500
Ru 0.126 0.626 0.000
Ru 0.374 0.126 0.000
Ru 0.626 0.874 0.000
Ru 0.874 0.374 0.000

Its energy is -25.11 eV per formula unit. The value obtained for the energy above the most stable polymorph in this dataset is 0.00 eV/f.u. The formation energy is 0.1177 eV per atom.